Entry 1:
Entry from Alexandria: a geometry-optimized Th3Hg structure (GGA-PBE).

Lattice parameters (Å, degrees): 3.582 11.193 6.012 90.00 90.00 90.00
Space group Imm2 (No. 44)
Inequivalent atoms, fractional coordinates:
Th: 0.000 0.000 0.000 x2
Th: 0.000 0.230 0.618 x4
Hg: 0.000 0.500 0.960 x2

Results
Energy above the lowest structure with this stoichiometry: 0.0091 eV/atom
D(E_F): 1.25 states/eV/atom
Formation enthalpy at 0 K: -0.3 eV per formula unit

=====

Entry 2:
Entry from Alexandria: a geometry-optimized ThHg2 structure (GGA-PBE).

Lattice parameters (Å, degrees): 4.9224 4.9224 7.4999 90.00 90.00 120.00
Space group P6_3/mmc (No. 194)
Inequivalent atoms, fractional coordinates:
Th: 0.0000 0.0000 0.2500 x2
Hg: 0.3333 0.6667 0.0413 x4

Results
D(E_F): 0.40 states/eV/atom
Formation enthalpy at 0 K: -0.8 eV per formula unit

=====

Entry 3:
Entry from Alexandria: a geometry-optimized Th4Hg structure (GGA-PBE).

Lattice parameters (Å, degrees): 5.775 5.775 5.775 90.00 90.00 90.00
Space group Pm-3m (No. 221)
Inequivalent atoms, fractional coordinates:
Th: 0.000 0.000 0.000 x1
Th: 0.000 0.500 0.500 x3
Hg: 0.500 0.500 0.500 x1

Results
Energy above the lowest structure with this stoichiometry: 0.6269 eV/atom
D(E_F): 2.11 states/eV/atom
Formation enthalpy at 0 K: 3.7 eV per formula unit

=====

Entry 4:
Entry from Alexandria: a geometry-optimized Th2Hg structure (GGA-PBE).

Lattice parameters (Å, degrees): 3.650 3.650 13.339 90.00 90.00 90.00
Space group P4/mmm (No. 123)
Inequivalent atoms, fractional coordinates:
Th: 0.000 0.000 0.000 x1
Th: 0.000 0.000 0.318 x2
Th: 0.500 0.500 0.500 x1
Hg: 0.500 0.500 0.160 x2

Results
D(E_F): 1.02 states/eV/atom
Formation enthalpy at 0 K: -0.4 eV per formula unit